Model i:
Below is a geometry-optimized Tm3IrPd2 structure, with properties calculated at the PBE level. Values from VASP.

Structure (Quantum ESPRESSO input):
```
&SYSTEM
  ibrav = 0, nat = 6, ntyp = 3
/
ATOMIC_SPECIES
Tm 168.93 Tm.upf
Ir 192.22 Ir.upf
Pd 106.42 Pd.upf
CELL_PARAMETERS angstrom
3.4040 0.0000 0.0000
0.0000 3.4040 0.0000
0.0000 0.0000 10.4991
ATOMIC_POSITIONS crystal
Tm 0.0000 0.0000 0.0000
Tm 0.0000 0.0000 0.3422
Tm 0.0000 0.0000 0.6578
Ir 0.5000 0.5000 0.5000
Pd 0.5000 0.5000 0.1661
Pd 0.5000 0.5000 0.8339
```

Computed properties:
total magnetization	0.00	μB per formula unit
theoretical density	12.4	g/cm³


Model ii:
Below is a geometry-optimized Tm3IrPd2 structure, with properties calculated at the PBE level. Values from VASP.

Structure (Quantum ESPRESSO input):
```
&SYSTEM
  ibrav = 0, nat = 12, ntyp = 3
/
ATOMIC_SPECIES
Tm 168.93 Tm.upf
Ir 192.22 Ir.upf
Pd 106.42 Pd.upf
CELL_PARAMETERS angstrom
2.4333 -7.2966 0.0000
2.4333 7.2966 0.0000
0.0000 0.0000 6.8383
ATOMIC_POSITIONS crystal
Tm 0.0000 0.0000 0.2452
Tm 0.0000 0.0000 0.7548
Tm 0.3309 0.6691 0.2427
Tm 0.3309 0.6691 0.7573
Tm 0.6691 0.3309 0.2427
Tm 0.6691 0.3309 0.7573
Ir 0.1643 0.8357 0.0000
Ir 0.8357 0.1643 0.0000
Pd 0.1667 0.8333 0.5000
Pd 0.5000 0.5000 0.0000
Pd 0.5000 0.5000 0.5000
Pd 0.8333 0.1667 0.5000
```

Computed properties:
total magnetization	0.00	μB per formula unit
theoretical density	12.5	g/cm³


Need the numbers? Relative energies in eV/atom: model i 0.011; model ii 0.000.


Model i:
Below is a geometry-optimized VIrPd2 structure, with properties calculated at the PBE level. Values from VASP.

Structure (Quantum ESPRESSO input):
```
&SYSTEM
  ibrav = 0, nat = 8, ntyp = 3
/
ATOMIC_SPECIES
V 50.94 V.upf
Ir 192.22 Ir.upf
Pd 106.42 Pd.upf
CELL_PARAMETERS angstrom
-1.8514 1.8514 9.1754
1.8514 -1.8514 9.1754
1.8514 1.8514 -9.1754
ATOMIC_POSITIONS crystal
V 0.0000 0.0000 0.0000
V 0.7500 0.2500 0.5000
Ir 0.2500 0.7500 0.5000
Ir 0.5000 0.5000 0.0000
Pd 0.1250 0.6250 0.0000
Pd 0.3750 0.3750 0.5000
Pd 0.6250 0.1250 0.0000
Pd 0.8750 0.8750 0.5000
```

Computed properties:
total magnetization	0.00	μB per formula unit
theoretical density	12.0	g/cm³


Model ii:
Below is a geometry-optimized VIrPd2 structure, with properties calculated at the PBE level. Values from VASP.

Structure (Quantum ESPRESSO input):
```
&SYSTEM
  ibrav = 0, nat = 4, ntyp = 3
/
ATOMIC_SPECIES
V 50.94 V.upf
Ir 192.22 Ir.upf
Pd 106.42 Pd.upf
CELL_PARAMETERS angstrom
3.8195 0.0000 0.0000
0.0000 3.8195 0.0000
0.0000 0.0000 3.9808
ATOMIC_POSITIONS crystal
V 0.0000 0.0000 0.0000
Ir 0.5000 0.5000 0.0000
Pd 0.0000 0.5000 0.5000
Pd 0.5000 0.0000 0.5000
```

Computed properties:
total magnetization	0.43	μB per formula unit
theoretical density	13.0	g/cm³


Need the numbers? Relative energies in eV/atom: model i 0.371; model ii 0.000.


Model i:
Below is a geometry-optimized VIrPd2 structure, with properties calculated at the PBE level. Values from VASP.

Structure (Quantum ESPRESSO input):
```
&SYSTEM
  ibrav = 0, nat = 4, ntyp = 3
/
ATOMIC_SPECIES
V 50.94 V.upf
Ir 192.22 Ir.upf
Pd 106.42 Pd.upf
CELL_PARAMETERS angstrom
0.0000 3.1042 3.1042
3.1042 0.0000 3.1042
3.1042 3.1042 0.0000
ATOMIC_POSITIONS crystal
V 0.0000 0.0000 0.0000
Ir 0.5000 0.5000 0.5000
Pd 0.2500 0.2500 0.2500
Pd 0.7500 0.7500 0.7500
```

Computed properties:
total magnetization	1.08	μB per formula unit
theoretical density	12.7	g/cm³


Model ii:
Below is a geometry-optimized VIrPd2 structure, with properties calculated at the PBE level. Values from VASP.

Structure (Quantum ESPRESSO input):
```
&SYSTEM
  ibrav = 0, nat = 8, ntyp = 3
/
ATOMIC_SPECIES
V 50.94 V.upf
Ir 192.22 Ir.upf
Pd 106.42 Pd.upf
CELL_PARAMETERS angstrom
4.3724 0.0000 0.0000
0.0000 5.4574 0.0000
0.0000 0.0000 4.8704
ATOMIC_POSITIONS crystal
V 0.2500 0.2500 0.1434
V 0.7500 0.7500 0.8566
Ir 0.2500 0.7500 0.1531
Ir 0.7500 0.2500 0.8469
Pd 0.2500 0.5007 0.6620
Pd 0.2500 0.9993 0.6620
Pd 0.7500 0.0007 0.3380
Pd 0.7500 0.4993 0.3380
```

Computed properties:
total magnetization	0.02	μB per formula unit
theoretical density	13.0	g/cm³


Need the numbers? Relative energies in eV/atom: model i 0.333; model ii 0.000.


Model i:
Below is a geometry-optimized VIrPd structure, with properties calculated at the PBE level. Values from VASP.

Structure (Quantum ESPRESSO input):
```
&SYSTEM
  ibrav = 0, nat = 6, ntyp = 3
/
ATOMIC_SPECIES
V 50.94 V.upf
Ir 192.22 Ir.upf
Pd 106.42 Pd.upf
CELL_PARAMETERS angstrom
1.8611 -5.9513 0.0000
1.8611 5.9513 0.0000
0.0000 0.0000 3.8804
ATOMIC_POSITIONS crystal
V 0.0835 0.9165 0.7500
V 0.9165 0.0835 0.2500
Ir 0.4224 0.5776 0.7500
Ir 0.5776 0.4224 0.2500
Pd 0.2518 0.7482 0.2500
Pd 0.7482 0.2518 0.7500
```

Computed properties:
total magnetization	0.46	μB per formula unit
theoretical density	13.5	g/cm³


Model ii:
Below is a geometry-optimized VIrPd structure, with properties calculated at the PBE level. Values from VASP.

Structure (Quantum ESPRESSO input):
```
&SYSTEM
  ibrav = 0, nat = 3, ntyp = 3
/
ATOMIC_SPECIES
V 50.94 V.upf
Ir 192.22 Ir.upf
Pd 106.42 Pd.upf
CELL_PARAMETERS angstrom
4.3795 0.0000 0.0000
-2.1898 3.7928 0.0000
0.0000 0.0000 2.6653
ATOMIC_POSITIONS crystal
V 0.0000 0.0000 0.0000
Ir 0.6667 0.3333 0.5000
Pd 0.3333 0.6667 0.5000
```

Computed properties:
total magnetization	0.00	μB per formula unit
theoretical density	13.1	g/cm³


Need the numbers? Relative energies in eV/atom: model i 0.000; model ii 0.318.


Model i:
Below is a geometry-optimized V2Ir2Pd structure, with properties calculated at the PBE level. Values from VASP.

Structure (Quantum ESPRESSO input):
```
&SYSTEM
  ibrav = 0, nat = 10, ntyp = 3
/
ATOMIC_SPECIES
V 50.94 V.upf
Ir 192.22 Ir.upf
Pd 106.42 Pd.upf
CELL_PARAMETERS angstrom
7.3613 0.0000 0.0000
0.0000 7.3613 0.0000
0.0000 0.0000 2.7496
ATOMIC_POSITIONS crystal
V 0.1479 0.3521 0.0000
V 0.3521 0.8521 0.0000
V 0.6479 0.1479 0.0000
V 0.8521 0.6479 0.0000
Ir 0.1461 0.6461 0.5000
Ir 0.3539 0.1461 0.5000
Ir 0.6461 0.8539 0.5000
Ir 0.8539 0.3539 0.5000
Pd 0.0000 0.0000 0.0000
Pd 0.5000 0.5000 0.0000
```

Computed properties:
total magnetization	0.00	μB per formula unit
theoretical density	13.2	g/cm³


Model ii:
Below is a geometry-optimized V2Ir2Pd structure, with properties calculated at the PBE level. Values from VASP.

Structure (Quantum ESPRESSO input):
```
&SYSTEM
  ibrav = 0, nat = 10, ntyp = 3
/
ATOMIC_SPECIES
V 50.94 V.upf
Ir 192.22 Ir.upf
Pd 106.42 Pd.upf
CELL_PARAMETERS angstrom
7.2704 0.0000 0.0000
0.0000 7.2704 0.0000
0.0000 0.0000 2.8017
ATOMIC_POSITIONS crystal
V 0.1635 0.3365 0.0000
V 0.3365 0.8365 0.0000
V 0.6635 0.1635 0.0000
V 0.8365 0.6635 0.0000
Ir 0.1349 0.6349 0.5000
Ir 0.3651 0.1349 0.5000
Ir 0.6349 0.8651 0.5000
Ir 0.8651 0.3651 0.5000
Pd 0.0000 0.0000 0.5000
Pd 0.5000 0.5000 0.5000
```

Computed properties:
total magnetization	0.00	μB per formula unit
theoretical density	13.3	g/cm³


Need the numbers? Relative energies in eV/atom: model i 0.079; model ii 0.000.


Model i:
Below is a geometry-optimized Ir2PdW structure, with properties calculated at the PBE level. Values from VASP.

Structure (Quantum ESPRESSO input):
```
&SYSTEM
  ibrav = 0, nat = 4, ntyp = 3
/
ATOMIC_SPECIES
Ir 192.22 Ir.upf
Pd 106.42 Pd.upf
W 183.84 W.upf
CELL_PARAMETERS angstrom
0.0000 3.1245 3.1245
3.1245 0.0000 3.1245
3.1245 3.1245 0.0000
ATOMIC_POSITIONS crystal
Ir 0.2500 0.2500 0.2500
Ir 0.7500 0.7500 0.7500
Pd 0.0000 0.0000 0.0000
W 0.5000 0.5000 0.5000
```

Computed properties:
total magnetization	0.00	μB per formula unit
theoretical density	18.4	g/cm³


Model ii:
Below is a geometry-optimized Ir2PdW structure, with properties calculated at the PBE level. Values from VASP.

Structure (Quantum ESPRESSO input):
```
&SYSTEM
  ibrav = 0, nat = 8, ntyp = 3
/
ATOMIC_SPECIES
Ir 192.22 Ir.upf
Pd 106.42 Pd.upf
W 183.84 W.upf
CELL_PARAMETERS angstrom
-3.5598 3.5598 2.6972
3.5598 -3.5598 2.6972
3.5598 3.5598 -2.6972
ATOMIC_POSITIONS crystal
Ir 0.0904 0.6250 0.9654
Ir 0.3750 0.3404 0.4654
Ir 0.6596 0.1250 0.0346
Ir 0.8750 0.9096 0.5346
Pd 0.2500 0.7500 0.5000
Pd 0.5000 0.5000 0.0000
W 0.0000 0.0000 0.0000
W 0.7500 0.2500 0.5000
```

Computed properties:
total magnetization	0.00	μB per formula unit
theoretical density	16.4	g/cm³


Need the numbers? Relative energies in eV/atom: model i 0.000; model ii 0.251.